Compound: KFeAsO4
Source: Alexandria
Functional: PBE with a Hubbard U
Structure: relaxed

As for the total energy: -5.952 eV per atom.

The structure belongs to space group P2_1/m (No. 11); the cell edges are 5.6059, 5.9895 and 7.2470 Å and the angles 90.00°, 105.64° and 90.00°. The inequivalent atoms are K at (0.2189, 0.2500, 0.4459), Fe at (0.3617, 0.2500, 0.9939), As at (0.2318, 0.7500, 0.1770), O at (0.0118, 0.2500, 0.0256), O at (0.1520, 0.7500, 0.3857) and O at (0.4439, 0.5354, 0.1695).